## SbNF2 (PBE)

Data for a relaxed SbNF2 crystal.

Structure (extended XYZ):
```
8
Lattice="3.3123 0.0000 0.0000 -0.0860 4.9386 0.0000 -0.0214 -0.1124 8.4865" Properties=species:S:1:pos:R:3 pbc="T T T"
Sb 0.0000 0.0000 0.0000
Sb -0.0857 4.4513 4.2337
N 1.5706 3.4231 4.2211
N 1.6562 1.0281 0.0139
F -0.0089 0.8954 2.8814
F -0.0036 0.8512 5.6299
F 3.2092 3.4791 7.0995
F 3.2352 3.5640 1.3616
```

Values from the calculation:
The relative energy among the computed polymorphs is 0.00 eV/f.u. The value obtained for the theoretical density is 4.16 Mg/m³. Its formation energy (no corrections) is -902 meV/atom.

## Sb4NF13 (PBE)

Data for a relaxed Sb4NF13 crystal.

Structure (extended XYZ):
```
18
Lattice="-5.2176 5.2176 2.7135 5.2176 -5.2176 2.7135 5.2176 5.2176 -2.7135" Properties=species:S:1:pos:R:3 pbc="T T T"
Sb 2.7783 0.0397 0.0000
Sb 5.1779 -2.4393 2.7135
Sb 0.0397 7.6569 0.0000
Sb 2.4393 5.1779 2.7135
N 0.0000 0.0000 2.7135
F 0.0000 0.0000 0.0000
F 6.4604 3.1399 -1.3603
F 4.4299 1.1585 0.0000
F 3.1399 3.9748 -1.3603
F 2.0777 1.2428 1.3532
F 4.0591 -0.7877 2.7135
F -1.2428 2.0777 1.3532
F 6.4604 3.1399 1.3603
F 1.1585 6.0053 0.0000
F 3.1399 3.9748 1.3603
F 2.0777 1.2428 4.0738
F 0.7877 4.0591 2.7135
F -1.2428 2.0777 4.0738
```

Values from the calculation:
Its density of states at the Fermi level is 12.53 states/eV/cell. The value obtained for the theoretical density is 4.20 Mg/m³. Its formation energy (no corrections) is -1753 meV/atom.